1.
Below is a relaxed K2CdSO4 crystal, with properties calculated at the PBE level.

Results
Final energy (eV/cell): -38.636

Lattice parameters (Å, degrees): 6.1741 6.1741 6.1741 112.75 107.86 107.86
Fractional positions:
1 Cd 0.5000 0.2500 0.7500
2 K 0.5000 0.7500 0.2500
3 K 0.0000 0.0000 0.0000
4 O 0.2103 0.6809 0.7874
5 O 0.1065 0.5294 0.3191
6 O 0.7897 0.5772 0.4706
7 O 0.8935 0.2126 0.4228
8 S 0.0000 0.5000 0.5000


2.
Below is a relaxed KCdSO4 crystal, with properties calculated at the PBE level.

Results
Final energy (eV/cell): -34.325

Lattice parameters (Å, degrees): 6.2648 6.2648 6.2648 60.00 60.00 60.00
Fractional positions:
1 O 0.3478 0.3478 0.9566
2 O 0.3478 0.3478 0.3478
3 O 0.9566 0.3478 0.3478
4 O 0.3478 0.9566 0.3478
5 S 0.2500 0.2500 0.2500
6 K 0.7500 0.7500 0.7500
7 Cd 0.5000 0.5000 0.5000


3.
Below is a relaxed K5CdSO2 crystal, with properties calculated at the PBE level.

Results
Final energy (eV/cell): -29.241

Lattice parameters (Å, degrees): 5.3061 5.3061 9.4908 90.00 90.00 90.00
Fractional positions:
1 K 0.5000 0.0000 0.2638
2 K 0.5000 0.0000 0.7362
3 K 0.0000 0.0000 0.5000
4 K 0.0000 0.5000 0.7362
5 K 0.0000 0.5000 0.2638
6 O 0.0000 0.0000 0.7813
7 O 0.0000 0.0000 0.2187
8 Cd 0.0000 0.0000 0.0000
9 S 0.5000 0.5000 0.5000


4.
Below is a relaxed KCdSbO3 crystal, with properties calculated at the PBE level.

Results
Final energy (eV/cell): -56.312

Lattice parameters (Å, degrees): 3.5089 9.1598 8.3156 74.78 90.00 90.00
Fractional positions:
1 Sb 0.2500 0.2618 0.5976
2 Sb 0.7500 0.7382 0.4024
3 K 0.7500 0.8682 0.8904
4 K 0.2500 0.1318 0.1096
5 O 0.7500 0.3611 0.1190
6 O 0.2500 0.6312 0.3456
7 O 0.2500 0.6389 0.8810
8 O 0.7500 0.3688 0.6544
9 O 0.7500 0.9024 0.2105
10 O 0.2500 0.0976 0.7895
11 Cd 0.2500 0.4925 0.1570
12 Cd 0.7500 0.5075 0.8430


5.
Below is a relaxed K2CdSbO4 crystal, with properties calculated at the PBE level.

Results
Final energy (eV/cell): -37.884

Lattice parameters (Å, degrees): 6.1431 6.1431 6.1431 88.16 121.07 121.07
Fractional positions:
1 O 0.9395 0.5447 0.1567
2 O 0.6120 0.3948 0.4553
3 O 0.3880 0.8433 0.7828
4 O 0.0605 0.2172 0.6052
5 K 0.5000 0.7500 0.2500
6 K 0.0000 0.0000 0.0000
7 Cd 0.5000 0.2500 0.7500
8 Sb 0.0000 0.5000 0.5000


6.
Below is a relaxed KCd2SbO crystal, with properties calculated at the PBE level.

Results
Final energy (eV/cell): -10.642

Lattice parameters (Å, degrees): 5.5610 7.1439 5.5610 90.00 90.00 90.00
Last column: magnetic moment on the atom in μB.
Fractional positions:
1 Cd 0.5000 0.0000 0.0000  0.01
2 Cd 0.0000 0.0000 0.5000  0.01
3 K 0.0000 0.5000 0.0000  0.00
4 O 0.5000 0.5000 0.5000  0.88
5 Sb 0.0000 0.0000 0.0000  0.01


7.
Below is a relaxed KScCdO3 crystal, with properties calculated at the PBE level.

Results
Final energy (eV/cell): -70.844

Lattice parameters (Å, degrees): 3.2645 7.2506 9.6062 96.11 90.00 90.00
Fractional positions:
1 O 0.7500 0.7777 0.1871
2 O 0.2500 0.8343 0.5696
3 O 0.7500 0.4077 0.0917
4 O 0.2500 0.5923 0.9083
5 O 0.2500 0.2223 0.8129
6 O 0.7500 0.1657 0.4304
7 Cd 0.2500 0.1648 0.5805
8 Cd 0.7500 0.8352 0.4195
9 Sc 0.2500 0.6146 0.1152
10 Sc 0.7500 0.3854 0.8848
11 K 0.2500 0.1491 0.2155
12 K 0.7500 0.8509 0.7845


8.
Below is a relaxed K2CdSeO4 crystal, with properties calculated at the PBE level.

Results
Final energy (eV/cell): -34.960

Lattice parameters (Å, degrees): 5.9175 5.9175 5.9175 93.33 118.09 118.09
Fractional positions:
1 O 0.0655 0.2250 0.6136
2 O 0.3886 0.8405 0.7750
3 O 0.6114 0.3864 0.4519
4 O 0.9345 0.5481 0.1595
5 K 0.5000 0.7500 0.2500
6 K 0.0000 0.0000 0.0000
7 Se 0.0000 0.5000 0.5000
8 Cd 0.5000 0.2500 0.7500


Number 1: formation energy (no corrections) -1.45 eV/atom. Number 2: formation energy (no corrections) -1.19 eV/atom. Number 3: formation energy (no corrections) -0.98 eV/atom. Number 4: formation energy (no corrections) -1.19 eV/atom. Number 5: formation energy (no corrections) -1.35 eV/atom. Number 6: formation energy (no corrections) 0.27 eV/atom. Number 7: formation energy (no corrections) -2.03 eV/atom. Number 8: formation energy (no corrections) -1.07 eV/atom.